No. 1
DFT (PBE) results for an optimized crystal structure of Rb2Na12Tl7.

## Properties
formation energy from the elements = -0.05 eV per atom
size of the total moment = 0.00 μB/cell

a b c (Å): 12.3038 12.3038 5.5131
angles (deg): 90.00 90.00 120.00
Space group P-6 (No. 174)
One atom of each set of equivalent atoms:
Rb 0.0000 0.0000 0.0000 x1
Rb 0.3333 0.6667 0.5000 x1
Na 0.1808 0.7881 0.0000 x3
Na 0.2911 0.0040 0.5000 x3
Na 0.3685 0.2032 0.0000 x3
Na 0.5462 0.3939 0.5000 x3
Tl 0.9999 0.4836 0.0000 x3
Tl 0.0170 0.7490 0.5000 x3
Tl 0.6667 0.3333 0.0000 x1


No. 2
DFT (PBE) results for an optimized crystal structure of Sc2NiBr.

## Properties
size of the total moment = 0.00 μB/cell
uncorrected formation energy = -630 meV/atom

a b c (Å): 3.211 3.343 7.732
angles (deg): 90.00 90.00 90.00
Space group Pmmm (No. 47)
One atom of each set of equivalent atoms:
Sc 0.000 0.000 0.196 x2
Ni 0.500 0.500 0.000 x1
Br 0.500 0.000 0.500 x1


No. 3
DFT (PBE) results for an optimized crystal structure of Sm3Tm3Pd4.

## Properties
formation energy from the elements = -0.72 eV per atom
size of the total moment = 0.00 μB/cell

a b c (Å): 4.005 11.155 10.917
angles (deg): 90.00 90.00 90.00
Space group Amm2 (No. 38)
One atom of each set of equivalent atoms:
Sm 0.000 0.000 0.000 x2
Sm 0.000 0.167 0.336 x4
Tm 0.000 0.000 0.666 x2
Tm 0.500 0.248 0.586 x4
Pd 0.500 0.000 0.203 x2
Pd 0.500 0.000 0.474 x2
Pd 0.500 0.130 0.828 x4